! TaTeMoF2, relaxed, DFT PBEsol; values from VASP
! DOS(E_F)   0.704 states/eV/atom
! Crystal system   tetragonal
! Symmetry   P4/mmm, No. 123
! VASP energy   -35.41 eV/cell
! Formation energy (no corrections)   -742 meV per atom
&SYSTEM
  ibrav = 0, nat = 5, ntyp = 4
/
ATOMIC_SPECIES
Ta 180.95 Ta.upf
Te 127.60 Te.upf
Mo 95.94 Mo.upf
F 19.00 F.upf
CELL_PARAMETERS angstrom
3.979 0.000 0.000
0.000 3.979 0.000
0.000 0.000 5.334
ATOMIC_POSITIONS angstrom
Ta 0.000 0.000 0.000
Te 1.989 1.989 0.000
Mo 0.000 0.000 2.667
F 0.000 1.989 2.667
F 1.989 0.000 2.667

=====

! TeMo2F, relaxed, DFT PBEsol; values from VASP
! DOS(E_F)   1.508 states/eV/atom
! Crystal system   cubic
! Symmetry   Fm-3m, No. 225
! VASP energy   -113.47 eV/cell
! Formation energy (no corrections)   156 meV per atom
&SYSTEM
  ibrav = 0, nat = 16, ntyp = 3
/
ATOMIC_SPECIES
Te 127.60 Te.upf
Mo 95.94 Mo.upf
F 19.00 F.upf
CELL_PARAMETERS angstrom
6.260 0.000 0.000
0.000 6.260 0.000
0.000 0.000 6.260
ATOMIC_POSITIONS angstrom
Te 0.000 0.000 0.000
Te 0.000 3.130 3.130
Te 3.130 0.000 3.130
Te 3.130 3.130 0.000
Mo 1.565 1.565 1.565
Mo 1.565 1.565 4.695
Mo 1.565 4.695 1.565
Mo 1.565 4.695 4.695
Mo 4.695 1.565 1.565
Mo 4.695 1.565 4.695
Mo 4.695 4.695 1.565
Mo 4.695 4.695 4.695
F 0.000 0.000 3.130
F 0.000 3.130 0.000
F 3.130 0.000 0.000
F 3.130 3.130 3.130

=====

! TiMoF3, relaxed, DFT PBEsol; values from VASP
! DOS(E_F)   1.069 states/eV/atom
! Crystal system   cubic
! Symmetry   Pm-3m, No. 221
! VASP energy   -32.06 eV/cell
! Formation energy (no corrections)   -1238 meV per atom
&SYSTEM
  ibrav = 0, nat = 5, ntyp = 3
/
ATOMIC_SPECIES
Ti 47.87 Ti.upf
Mo 95.94 Mo.upf
F 19.00 F.upf
CELL_PARAMETERS angstrom
4.132 0.000 0.000
0.000 4.132 0.000
0.000 0.000 4.132
ATOMIC_POSITIONS angstrom
Ti 0.000 0.000 0.000
Mo 2.066 2.066 2.066
F 0.000 0.000 2.066
F 0.000 2.066 0.000
F 2.066 0.000 0.000

=====

! Y2TlMoF, relaxed, DFT PBEsol; values from VASP
! DOS(E_F)   0.956 states/eV/atom
! Crystal system   tetragonal
! Symmetry   P4/mmm, No. 123
! VASP energy   -30.76 eV/cell
! Formation energy (no corrections)   -157 meV per atom
&SYSTEM
  ibrav = 0, nat = 5, ntyp = 4
/
ATOMIC_SPECIES
Y 88.91 Y.upf
Tl 204.38 Tl.upf
Mo 95.94 Mo.upf
F 19.00 F.upf
CELL_PARAMETERS angstrom
5.446 0.000 0.000
0.000 5.446 0.000
0.000 0.000 4.011
ATOMIC_POSITIONS angstrom
Y 0.000 2.723 0.000
Y 2.723 0.000 0.000
Tl 0.000 0.000 2.006
Mo 2.723 2.723 0.000
F 2.723 2.723 2.006

=====

! Zn2MoF, relaxed, DFT PBEsol; values from VASP
! DOS(E_F)   1.178 states/eV/atom
! Crystal system   cubic
! Symmetry   Fm-3m, No. 225
! VASP energy   -61.09 eV/cell
! Formation energy (no corrections)   397 meV per atom
&SYSTEM
  ibrav = 0, nat = 16, ntyp = 3
/
ATOMIC_SPECIES
Zn 65.41 Zn.upf
Mo 95.94 Mo.upf
F 19.00 F.upf
CELL_PARAMETERS angstrom
6.119 0.000 0.000
0.000 6.119 0.000
0.000 0.000 6.119
ATOMIC_POSITIONS angstrom
Zn 1.530 1.530 1.530
Zn 1.530 1.530 4.589
Zn 1.530 4.589 1.530
Zn 1.530 4.589 4.589
Zn 4.589 1.530 1.530
Zn 4.589 1.530 4.589
Zn 4.589 4.589 1.530
Zn 4.589 4.589 4.589
Mo 0.000 0.000 0.000
Mo 0.000 3.059 3.059
Mo 3.059 0.000 3.059
Mo 3.059 3.059 0.000
F 0.000 0.000 3.059
F 0.000 3.059 0.000
F 3.059 0.000 0.000
F 3.059 3.059 3.059

=====

! NaS2NO4F2, relaxed, DFT PBEsol; values from VASP
! DOS(E_F)   0.000 states/eV/atom
! Crystal system   monoclinic
! Symmetry   P2_1/c, No. 14
! VASP energy   -229.93 eV/cell
! Formation energy (no corrections)   -1393 meV per atom
&SYSTEM
  ibrav = 0, nat = 40, ntyp = 5
/
ATOMIC_SPECIES
Na 22.99 Na.upf
S 32.06 S.upf
N 14.01 N.upf
O 16.00 O.upf
F 19.00 F.upf
CELL_PARAMETERS angstrom
7.495 0.000 0.000
0.000 9.146 0.000
-2.523 0.000 8.558
ATOMIC_POSITIONS angstrom
Na 1.682 0.128 0.540
Na 0.421 4.445 4.819
Na 4.551 4.701 3.739
Na 3.289 9.018 8.018
S -1.761 2.053 6.255
S -0.499 2.520 1.976
S 0.570 6.641 7.601
S 1.831 7.078 3.322
S 3.140 2.068 5.236
S 4.402 2.505 0.957
S 5.470 6.626 6.582
S 6.732 7.093 2.303
N 0.426 6.400 3.071
N -0.836 7.319 7.350
N 5.807 1.827 1.208
N 4.546 2.746 5.487
O -2.134 1.290 7.422
O -0.873 3.283 3.143
O 0.575 1.585 2.089
O -0.686 2.988 6.368
O 1.072 5.797 6.561
O 2.334 7.922 2.282
O 3.551 1.496 0.403
O 2.289 3.077 4.682
O 2.682 6.069 3.877
O 1.421 7.650 8.156
O 2.637 1.224 6.276
O 3.899 3.349 1.997
O 5.658 6.158 2.190
O 4.396 7.561 6.469
O 5.844 5.864 5.416
O 7.106 7.856 1.137
F -1.246 0.947 5.236
F 0.015 3.626 0.956
F 2.793 5.654 0.249
F 1.531 8.066 4.529
F 3.440 1.080 4.030
F 2.179 3.493 8.309
F 4.956 5.520 7.602
F 6.218 8.199 3.323

=====

! NaOsN2F, relaxed, DFT PBEsol; values from VASP
! DOS(E_F)   0.265 states/eV/atom
! Crystal system   tetragonal
! Symmetry   P4/mmm, No. 123
! VASP energy   -34.36 eV/cell
! Formation energy (no corrections)   -354 meV per atom
&SYSTEM
  ibrav = 0, nat = 5, ntyp = 4
/
ATOMIC_SPECIES
Na 22.99 Na.upf
Os 190.23 Os.upf
N 14.01 N.upf
F 19.00 F.upf
CELL_PARAMETERS angstrom
3.764 0.000 0.000
0.000 3.764 0.000
0.000 0.000 4.525
ATOMIC_POSITIONS angstrom
Na 0.000 0.000 0.000
Os 1.882 1.882 2.262
N 0.000 1.882 2.262
N 1.882 0.000 2.262
F 1.882 1.882 0.000

=====

! NaSN2F, relaxed, DFT PBEsol; values from VASP
! DOS(E_F)   0.605 states/eV/atom
! Crystal system   tetragonal
! Symmetry   P4/mmm, No. 123
! VASP energy   -16.54 eV/cell
! Formation energy (no corrections)   1644 meV per atom
&SYSTEM
  ibrav = 0, nat = 5, ntyp = 4
/
ATOMIC_SPECIES
Na 22.99 Na.upf
S 32.06 S.upf
N 14.01 N.upf
F 19.00 F.upf
CELL_PARAMETERS angstrom
4.791 0.000 0.000
0.000 4.791 0.000
0.000 0.000 3.819
ATOMIC_POSITIONS angstrom
Na 0.000 0.000 0.000
S 2.396 2.396 0.000
N 0.000 2.396 1.910
N 2.396 0.000 1.910
F 2.396 2.396 1.910

=====

! NaSNF2, relaxed, DFT PBEsol; values from VASP
! DOS(E_F)   0.268 states/eV/atom
! Crystal system   tetragonal
! Symmetry   P4/mmm, No. 123
! VASP energy   -22.10 eV/cell
! Formation energy (no corrections)   -786 meV per atom
&SYSTEM
  ibrav = 0, nat = 5, ntyp = 4
/
ATOMIC_SPECIES
Na 22.99 Na.upf
S 32.06 S.upf
N 14.01 N.upf
F 19.00 F.upf
CELL_PARAMETERS angstrom
4.406 0.000 0.000
0.000 4.406 0.000
0.000 0.000 3.304
ATOMIC_POSITIONS angstrom
Na 0.000 0.000 0.000
S 2.203 2.203 1.652
N 2.203 2.203 0.000
F 0.000 2.203 1.652
F 2.203 0.000 1.652

=====

! NaScNF2, relaxed, DFT PBEsol; values from VASP
! DOS(E_F)   0.027 states/eV/atom
! Crystal system   tetragonal
! Symmetry   P4/mmm, No. 123
! VASP energy   -26.38 eV/cell
! Formation energy (no corrections)   -1198 meV per atom
&SYSTEM
  ibrav = 0, nat = 5, ntyp = 4
/
ATOMIC_SPECIES
Na 22.99 Na.upf
Sc 44.96 Sc.upf
N 14.01 N.upf
F 19.00 F.upf
CELL_PARAMETERS angstrom
3.762 0.000 0.000
0.000 3.762 0.000
0.000 0.000 4.316
ATOMIC_POSITIONS angstrom
Na 0.000 0.000 0.000
Sc 1.881 1.881 2.158
N 0.000 0.000 2.158
F 0.000 1.881 0.000
F 1.881 0.000 0.000

=====

! NaSeN2F, relaxed, DFT PBEsol; values from VASP
! DOS(E_F)   0.244 states/eV/atom
! Crystal system   tetragonal
! Symmetry   P4/mmm, No. 123
! VASP energy   -22.90 eV/cell
! Formation energy (no corrections)   265 meV per atom
&SYSTEM
  ibrav = 0, nat = 5, ntyp = 4
/
ATOMIC_SPECIES
Na 22.99 Na.upf
Se 78.96 Se.upf
N 14.01 N.upf
F 19.00 F.upf
CELL_PARAMETERS angstrom
3.674 0.000 0.000
0.000 3.674 0.000
0.000 0.000 4.664
ATOMIC_POSITIONS angstrom
Na 0.000 0.000 0.000
Se 1.837 1.837 2.332
N 0.000 1.837 2.332
N 1.837 0.000 2.332
F 1.837 1.837 0.000

=====

! NaSrNF2, relaxed, DFT PBEsol; values from VASP
! DOS(E_F)   0.595 states/eV/atom
! Crystal system   tetragonal
! Symmetry   P4/mmm, No. 123
! VASP energy   -22.98 eV/cell
! Formation energy (no corrections)   -1472 meV per atom
&SYSTEM
  ibrav = 0, nat = 5, ntyp = 4
/
ATOMIC_SPECIES
Na 22.99 Na.upf
Sr 87.62 Sr.upf
N 14.01 N.upf
F 19.00 F.upf
CELL_PARAMETERS angstrom
4.645 0.000 0.000
0.000 4.645 0.000
0.000 0.000 5.060
ATOMIC_POSITIONS angstrom
Na 0.000 0.000 0.000
Sr 2.323 2.323 2.530
N 2.323 2.323 0.000
F 0.000 2.323 2.530
F 2.323 0.000 2.530

=====

! NaTeN2F, relaxed, DFT PBEsol; values from VASP
! DOS(E_F)   0.486 states/eV/atom
! Crystal system   tetragonal
! Symmetry   P4/mmm, No. 123
! VASP energy   -14.72 eV/cell
! Formation energy (no corrections)   1838 meV per atom
&SYSTEM
  ibrav = 0, nat = 5, ntyp = 4
/
ATOMIC_SPECIES
Na 22.99 Na.upf
Te 127.60 Te.upf
N 14.01 N.upf
F 19.00 F.upf
CELL_PARAMETERS angstrom
4.234 0.000 0.000
0.000 4.234 0.000
0.000 0.000 6.147
ATOMIC_POSITIONS angstrom
Na 0.000 0.000 0.000
Te 0.000 0.000 3.074
N 0.000 2.117 0.000
N 2.117 0.000 0.000
F 2.117 2.117 3.074